La2W19O57 after structural relaxation. Source: Alexandria via LeMat-Bulk, functional PBE with a Hubbard U.

```
78
Lattice="8.695 0.000 0.000 3.479 7.975 0.000 3.459 0.382 16.127" Properties=species:S:1:pos:R:3 pbc="T T T"
La 1.726 1.155 3.827
La 13.906 7.202 12.300
W 4.307 6.635 5.988
W 2.641 3.626 1.662
W 4.376 0.979 13.599
W 6.111 5.829 9.290
W 4.373 2.881 5.135
W 6.099 7.737 0.817
W 7.855 5.093 12.757
W 6.081 2.060 8.481
W 7.848 7.005 4.276
W 6.087 3.988 0.000
W 7.785 1.352 11.851
W 9.552 6.297 7.646
W 7.778 3.264 3.370
W 9.533 0.620 15.310
W 11.259 5.476 10.992
W 9.521 2.528 6.837
W 11.257 7.378 2.527
W 12.992 4.731 14.465
W 11.326 1.722 10.139
O 1.739 3.988 0.000
O 2.578 2.627 5.881
O 4.350 2.850 13.984
O 3.420 1.264 11.892
O 6.042 7.763 9.847
O 4.360 7.644 1.771
O 5.208 6.278 7.640
O 6.058 5.004 13.535
O 4.343 4.759 5.511
O 3.407 3.164 3.417
O 2.549 1.693 1.361
O 4.331 1.891 9.340
O 5.195 0.585 15.279
O 7.744 7.035 13.132
O 6.055 6.900 5.049
O 6.898 5.557 11.074
O 4.314 3.780 0.879
O 6.074 3.991 8.915
O 5.202 2.481 6.786
O 4.267 0.960 4.656
O 6.078 1.126 12.727
O 6.906 7.472 2.589
O 6.071 5.925 0.447
O 7.814 6.073 8.496
O 8.670 4.754 14.434
O 6.076 3.040 4.236
O 7.816 3.224 12.313
O 6.955 1.711 10.188
O 4.348 0.000 0.000
O 6.077 0.191 8.063
O 8.678 6.646 5.938
O 7.816 5.132 3.814
O 9.556 5.317 11.891
O 6.962 3.603 1.693
O 7.818 2.283 7.630
O 9.562 2.432 15.679
O 8.726 0.885 13.538
O 9.555 7.231 3.400
O 11.366 7.397 11.471
O 10.431 5.876 9.341
O 9.559 4.366 7.212
O 11.318 4.577 15.248
O 8.735 2.800 5.053
O 9.578 1.457 11.078
O 7.888 1.322 2.994
O 10.437 7.772 0.848
O 11.302 6.466 6.787
O 13.084 6.664 14.766
O 12.225 5.193 12.709
O 11.290 3.598 10.616
O 9.575 3.353 2.592
O 10.424 2.078 8.487
O 11.273 0.713 14.356
O 9.590 0.594 6.279
O 12.212 7.092 4.234
O 11.283 5.507 2.143
O 13.054 5.730 10.246
```

Summary:
**Space group**: P-1, No. 2
**Magnetization**: 0.003 μB/atom
**VASP energy**: -594.1 eV/cell
**D(E_F)**: 0.0492 states/eV/atom